# PBE-GGA ZrFeS2Cl, optimized geometry
# Uncorrected energy (eV per atom): -5.2482
# Total magnetic moment (μB/f.u.): 4.3
# Offset from the most stable computed form (meV per atom): 421.3
# Symmetry: No. 123
data_ZrFeS2Cl
_chemical_formula_sum 'Zr1 Fe1 S2 Cl1'
_space_group_name_H-M_alt 'P 1'
_space_group_IT_number 1
_space_group_name_Hall 'P 1'
_cell_length_a 4.8263
_cell_length_b 4.8263
_cell_length_c 6.0251
_cell_angle_alpha 90.00
_cell_angle_beta 90.00
_cell_angle_gamma 90.00
loop_
_atom_site_label
_atom_site_type_symbol
_atom_site_fract_x
_atom_site_fract_y
_atom_site_fract_z
_atom_site_occupancy
Zr1 Zr 0.0000 0.0000 0.0000 1
Fe1 Fe 0.0000 0.0000 0.5000 1
S1 S 0.0000 0.5000 0.0000 1
S2 S 0.5000 0.0000 0.0000 1
Cl1 Cl 0.5000 0.5000 0.5000 1


# PBE-GGA ZrFeSCl2, optimized geometry
# Uncorrected energy (eV per atom): -5.0178
# Total magnetic moment (μB/f.u.): 0.0
# Offset from the most stable computed form (meV per atom): 266.5
# Symmetry: No. 123
data_ZrFeSCl2
_chemical_formula_sum 'Zr1 Fe1 S1 Cl2'
_space_group_name_H-M_alt 'P 1'
_space_group_IT_number 1
_space_group_name_Hall 'P 1'
_cell_length_a 4.4036
_cell_length_b 4.4036
_cell_length_c 4.5684
_cell_angle_alpha 90.00
_cell_angle_beta 90.00
_cell_angle_gamma 90.00
loop_
_atom_site_label
_atom_site_type_symbol
_atom_site_fract_x
_atom_site_fract_y
_atom_site_fract_z
_atom_site_occupancy
Zr1 Zr 0.0000 0.0000 0.0000 1
Fe1 Fe 0.5000 0.5000 0.5000 1
S1 S 0.5000 0.5000 0.0000 1
Cl1 Cl 0.0000 0.5000 0.5000 1
Cl2 Cl 0.5000 0.0000 0.5000 1


# PBE-GGA ZrFeS2Cl, optimized geometry
# Uncorrected energy (eV per atom): -5.5903
# Total magnetic moment (μB/f.u.): 0.7
# Offset from the most stable computed form (meV per atom): 79.2
# Symmetry: No. 123
data_ZrFeS2Cl
_chemical_formula_sum 'Zr1 Fe1 S2 Cl1'
_space_group_name_H-M_alt 'P 1'
_space_group_IT_number 1
_space_group_name_Hall 'P 1'
_cell_length_a 4.4503
_cell_length_b 4.4503
_cell_length_c 4.3372
_cell_angle_alpha 90.00
_cell_angle_beta 90.00
_cell_angle_gamma 90.00
loop_
_atom_site_label
_atom_site_type_symbol
_atom_site_fract_x
_atom_site_fract_y
_atom_site_fract_z
_atom_site_occupancy
Zr1 Zr 0.0000 0.0000 0.0000 1
Fe1 Fe 0.5000 0.5000 0.5000 1
S1 S 0.0000 0.5000 0.5000 1
S2 S 0.5000 0.0000 0.5000 1
Cl1 Cl 0.5000 0.5000 0.0000 1